! GGA-PBEsol LiScPb3, optimized geometry; values from VASP
&SYSTEM
  ibrav = 0, nat = 5, ntyp = 3
/
ATOMIC_SPECIES
Li 6.94 Li.upf
Sc 44.96 Sc.upf
Pb 207.20 Pb.upf
CELL_PARAMETERS angstrom
5.554 0.000 0.000
0.000 5.554 0.000
0.000 0.000 5.554
ATOMIC_POSITIONS crystal
Li 0.000 0.000 0.000
Sc 0.500 0.500 0.500
Pb 0.000 0.500 0.500
Pb 0.500 0.000 0.500
Pb 0.500 0.500 0.000
! D(E_F) (states/eV per atom): 0.92
! Calculated total energy (eV/atom): -3.907